BaTbW2O8 | PBE with a Hubbard U | relaxed

Unit cell a=6.040 b=6.040 c=7.544 alpha=90.00 beta=90.00 gamma=120.00
Atoms (fractional coordinates):
Ba (0.000, 0.000, 0.000)
Tb (0.000, 0.000, 0.500)
W (0.667, 0.333, 0.228)
W (0.333, 0.667, 0.772)
O (0.333, 0.667, 0.012)
O (0.329, 0.164, 0.304)
O (0.836, 0.165, 0.304)
O (0.667, 0.333, 0.988)
O (0.164, 0.835, 0.696)
O (0.671, 0.836, 0.696)
O (0.165, 0.329, 0.696)
O (0.835, 0.671, 0.304)

Total magnetization ... 0.08 μB per atom
Final energy ... -7.44 eV/atom
DOS(E_F) ... 0.422 states/eV per atom